Below is an optimized crystal structure of Ti3BeC, with properties calculated at the PBE level.

The structure belongs to space group C2/m (No. 12); the cell edges are 9.7975, 4.1949 and 6.6526 Å and the angles 90.00°, 100.45° and 90.00°. Symmetry generates all atoms from Ti at (0.0733, 0.0000, 0.2000), Ti at (0.1511, 0.5000, 0.9224), Ti at (0.1790, 0.0000, 0.6150), Be at (0.0694, 0.5000, 0.4007) and C at (0.1393, 0.0000, 0.9190).

The value obtained for the distance to the lowest polymorph of the same formula is 28 meV/atom.

Below is an optimized crystal structure of CrFeRu, with properties calculated at the PBE level.

The structure belongs to space group I4mm (No. 107); the cell edges are 2.9361, 2.9361 and 8.7403 Å and the angles 90.00°, 90.00° and 90.00°. Symmetry generates all atoms from Cr at (0.0000, 0.0000, 0.0000), Fe at (0.0000, 0.0000, 0.6546) and Ru at (0.0000, 0.0000, 0.3326).

The value obtained for the distance to the lowest polymorph of the same formula is 34 meV/atom.

Below is an optimized crystal structure of SrLiSb2, with properties calculated at the PBE level.

The structure belongs to space group P4mm (No. 99); the cell edges are 4.1338, 4.1338 and 6.7673 Å and the angles 90.00°, 90.00° and 90.00°. Symmetry generates all atoms from Sr at (0.0000, 0.0000, 0.0000), Li at (0.5000, 0.5000, 0.3504), Sb at (0.0000, 0.0000, 0.4986) and Sb at (0.5000, 0.5000, 0.7543).

The calculation puts the energy relative to the elements, uncorrected at -33.4 kJ/mol of atoms. The value obtained for the distance to the lowest polymorph of the same formula is 258 meV/atom.

Below is an optimized crystal structure of AlRe2Ir, with properties calculated at the PBE level.

The structure belongs to space group I-4m2 (No. 119); the cell edges are 3.9439, 3.9439 and 7.5488 Å and the angles 90.00°, 90.00° and 90.00°. Symmetry generates all atoms from Al at (0.0000, 0.0000, 0.0000), Re at (0.0000, 0.0000, 0.5000), Re at (0.0000, 0.5000, 0.2500) and Ir at (0.0000, 0.5000, 0.7500).

Its total energy is -75.7 eV/cell.

Below is an optimized crystal structure of Li5HgPd4, with properties calculated at the PBE level.

The structure belongs to space group P4/mmm (No. 123); the cell edges are 3.0726, 3.0726 and 15.1191 Å and the angles 90.00°, 90.00° and 90.00°. Symmetry generates all atoms from Li at (0.0000, 0.0000, 0.0000), Li at (0.0000, 0.0000, 0.1900), Li at (0.0000, 0.0000, 0.3783), Hg at (0.5000, 0.5000, 0.5000), Pd at (0.5000, 0.5000, 0.0959) and Pd at (0.5000, 0.5000, 0.2878).

Its total energy is -34.7 eV/cell.

Below is an optimized crystal structure of ZrRu2, with properties calculated at the PBE level.

The structure belongs to space group I4/mcm (No. 140); the cell edges are 5.1196, 5.1196 and 8.3107 Å and the angles 90.00°, 90.00° and 90.00°. Symmetry generates all atoms from Zr at (0.0000, 0.0000, 0.2500) and Ru at (0.1732, 0.3268, 0.0000).

Its total energy is -107.9 eV/cell.

Below is an optimized crystal structure of ThMgScTc, with properties calculated at the PBE level.

The structure belongs to space group F-43m (No. 216); the cell edges are 7.0704, 7.0704 and 7.0704 Å and the angles 90.00°, 90.00° and 90.00°. Symmetry generates all atoms from Th at (0.0000, 0.0000, 0.0000), Mg at (0.2500, 0.2500, 0.2500), Sc at (0.0000, 0.0000, 0.5000) and Tc at (0.2500, 0.2500, 0.7500).

The value obtained for the distance to the lowest polymorph of the same formula is 102 meV/atom.

Below is an optimized crystal structure of Mn2InCl, with properties calculated at the PBE level.

The structure belongs to space group Cmmm (No. 65); the cell edges are 3.2594, 5.5254 and 8.4763 Å and the angles 90.00°, 90.00° and 90.00°. Symmetry generates all atoms from Mn at (0.0000, 0.0000, 0.2352), In at (0.0000, 0.5000, 0.5000) and Cl at (0.0000, 0.5000, 0.0000).

The calculation puts the energy relative to the elements, uncorrected at 16.1 kJ/mol of atoms. The value obtained for the distance to the lowest polymorph of the same formula is 131 meV/atom.

Below is an optimized crystal structure of Sc4Co, with properties calculated at the PBE level.

The structure belongs to space group Fd-3m (No. 227, origin choice 2); the cell edges are 9.7698, 9.7698 and 9.7698 Å and the angles 90.00°, 90.00° and 90.00°. Symmetry generates all atoms from Sc at (0.0123, 0.0123, 0.2377) and Co at (0.1250, 0.1250, 0.6250).

The value obtained for the distance to the lowest polymorph of the same formula is 433 meV/atom.

Below is an optimized crystal structure of Rb4U3MnSe8, with properties calculated at the PBE level.

The structure belongs to space group C2/m (No. 12); the cell edges are 14.7785, 8.4560 and 9.3899 Å and the angles 90.00°, 121.70° and 90.00°. Symmetry generates all atoms from Rb at (0.0000, 0.0000, 0.0000), Rb at (0.0000, 0.5000, 0.0000), Rb at (0.2500, 0.2500, 0.0000), U at (0.0000, 0.0000, 0.5000), U at (0.2500, 0.2500, 0.5000), Mn at (0.0000, 0.5000, 0.5000), Se at (0.0178, 0.2571, 0.3089), Se at (0.2292, 0.5000, 0.6928) and Se at (0.2332, 0.0000, 0.6992).

The calculation puts the energy relative to the elements, uncorrected at -105.5 kJ/mol of atoms.

Below is an optimized crystal structure of ScTiCrH, with properties calculated at the PBE level.

The structure belongs to space group Cm (No. 8); the cell edges are 10.4780, 3.2606 and 3.2865 Å and the angles 90.00°, 105.55° and 90.00°. Symmetry generates all atoms from Sc at (0.0000, 0.0000, 0.0000), Ti at (0.2010, 0.5000, 0.6623), Cr at (0.3136, 0.0000, 0.2813) and H at (0.3664, 0.5000, 0.4118).

The value obtained for the distance to the lowest polymorph of the same formula is 67 meV/atom.

Below is an optimized crystal structure of ErMoP2Rh5, with properties calculated at the PBE level.

The structure belongs to space group P4/mmm (No. 123); the cell edges are 3.9602, 3.9602 and 10.4244 Å and the angles 90.00°, 90.00° and 90.00°. Symmetry generates all atoms from Er at (0.0000, 0.0000, 0.0000), Mo at (0.5000, 0.5000, 0.5000), P at (0.5000, 0.5000, 0.2160), Rh at (0.0000, 0.5000, 0.3376) and Rh at (0.5000, 0.5000, 0.0000).

Its total energy is -65.2 eV/cell.

Below is an optimized crystal structure of Rb3Te12As5, with properties calculated at the PBE level.

The structure belongs to space group Ia-3d (No. 230); the cell edges are 18.1835, 18.1835 and 18.1835 Å and the angles 90.00°, 90.00° and 90.00°. Symmetry generates all atoms from Rb at (0.0000, 0.2500, 0.1250), Te at (0.0349, 0.0528, 0.6457), As at (0.0000, 0.0000, 0.0000) and As at (0.0000, 0.2500, 0.3750).

The calculation puts the energy relative to the elements, uncorrected at -5.5 kJ/mol of atoms.

Below is an optimized crystal structure of Sc3TlW, with properties calculated at the PBE level.

The structure belongs to space group Pm-3m (No. 221); the cell edges are 5.1056, 5.1056 and 5.1056 Å and the angles 90.00°, 90.00° and 90.00°. Symmetry generates all atoms from Sc at (0.0000, 0.0000, 0.5000), Tl at (0.5000, 0.5000, 0.5000) and W at (0.0000, 0.0000, 0.0000).

The value obtained for the distance to the lowest polymorph of the same formula is 0 meV/atom.

Below is an optimized crystal structure of LiTl2Cd, with properties calculated at the PBE level.

The structure belongs to space group C2/m (No. 12); the cell edges are 9.6302, 3.3418 and 6.2893 Å and the angles 90.00°, 99.31° and 90.00°. Symmetry generates all atoms from Li at (0.0000, 0.0000, 0.0000), Tl at (0.2457, 0.5000, 0.2387) and Cd at (0.0000, 0.5000, 0.5000).

Its total energy is -15.7 eV/cell.

Below is an optimized crystal structure of MgBe2V, with properties calculated at the PBE level.

The structure belongs to space group C2/m (No. 12); the cell edges are 10.3338, 2.7796 and 7.0966 Å and the angles 90.00°, 94.79° and 90.00°. Symmetry generates all atoms from Mg at (0.1327, 0.0000, 0.0840), Be at (0.0847, 0.0000, 0.4324), Be at (0.2341, 0.5000, 0.3861) and V at (0.0869, 0.5000, 0.7055).

Its total energy is -70.2 eV/cell.